No. 1
Below is ZrTcPd after structural relaxation, with properties calculated at the PBE level.

Lattice parameters (Å, degrees): 5.3621 5.3621 5.3621 124.03 85.61 121.13
Closest atoms and distances in Å follow each position.
Fractional coordinates of all 6 atoms:
Zr1 0.1282 0.2500 0.3782  5 Pd 2.89-3.12, 4 Tc 2.94-3.19, 2 Zr 3.22
Zr2 0.8718 0.7500 0.6218  5 Pd 2.89-3.12, 4 Tc 2.94-3.19, 2 Zr 3.22
Tc1 0.5334 0.0334 0.5000  2 Tc 2.52, 4 Pd 2.69-2.72
Tc2 0.5334 0.5334 0.0000  2 Tc 2.52, 4 Pd 2.69-2.72
Pd1 0.0067 0.4795 0.0273  2 Pd 2.67, 4 Tc 2.69-2.72, 2 Zr 2.89
Pd2 0.4522 0.9795 0.9727  2 Pd 2.67, 4 Tc 2.69-2.72, 2 Zr 2.89

Calculated values
- SG: Ima2 (46)

***

No. 2
Below is ZrTcPd after structural relaxation, with properties calculated at the PBE level.

Lattice parameters (Å, degrees): 3.7819 3.7819 7.5130 90.00 90.00 90.00
Closest atoms and distances in Å follow each position.
Fractional coordinates of all 6 atoms:
Zr1 0.2500 0.2500 0.1517  5 Pd 2.74-2.86
Zr2 0.7500 0.7500 0.8483  5 Pd 2.74-2.86
Tc1 0.2500 0.7500 0.5000  4 Tc 2.67, 4 Pd 2.78
Tc2 0.7500 0.2500 0.5000  4 Tc 2.67, 4 Pd 2.78
Pd1 0.2500 0.2500 0.7709  5 Zr 2.74-2.86, 4 Tc 2.78
Pd2 0.7500 0.7500 0.2291  5 Zr 2.74-2.86, 4 Tc 2.78

Calculated values
- SG: P4/nmm (129)

***

No. 3
Below is Zr4TcPd2 after structural relaxation, with properties calculated at the PBE level.

Lattice parameters (Å, degrees): 5.7344 5.7344 4.5943 90.00 90.00 108.80
Closest atoms and distances in Å follow each position.
Fractional coordinates of all 7 atoms:
Zr1 0.0000 0.5000 0.5000  4 Pd 2.84, 2 Tc 2.87
Zr2 0.2503 0.2503 0.0000  2 Tc 2.84, 4 Pd 2.85-2.89
Zr3 0.5000 0.0000 0.5000  4 Pd 2.84, 2 Tc 2.87
Zr4 0.7497 0.7497 0.0000  2 Tc 2.84, 4 Pd 2.85-2.89
Tc1 0.0000 0.0000 0.5000  8 Zr 2.84-2.87
Pd1 0.2526 0.7474 0.0000  8 Zr 2.84-2.89
Pd2 0.7474 0.2526 0.0000  8 Zr 2.84-2.89

Calculated values
- SG: Cmmm (65)

***

No. 4
Below is Zr6TcPd3 after structural relaxation, with properties calculated at the PBE level.

Lattice parameters (Å, degrees): 5.4514 8.1237 10.8142 90.00 119.87 90.00
Closest atoms and distances in Å follow each position.
Fractional coordinates of all 20 atoms:
Zr1 0.0261 0.1805 0.4462  1 Tc 2.68, 3 Pd 2.77-2.95
Zr2 0.0261 0.3195 0.9462  1 Tc 2.68, 3 Pd 2.77-2.95
Zr3 0.3642 0.6708 0.4509  1 Tc 2.68, 3 Pd 2.76-2.98
Zr4 0.3642 0.8292 0.9509  1 Tc 2.68, 3 Pd 2.76-2.98
Zr5 0.3996 0.0543 0.2435  1 Tc 2.48, 1 Pd 2.58
Zr6 0.3996 0.4457 0.7435  1 Tc 2.48, 1 Pd 2.58
Zr7 0.6004 0.5543 0.2565  1 Tc 2.48, 1 Pd 2.58
Zr8 0.6004 0.9457 0.7565  1 Tc 2.48, 1 Pd 2.58
Zr9 0.6358 0.1708 0.0491  1 Tc 2.68, 3 Pd 2.76-2.98
Zr10 0.6358 0.3292 0.5491  1 Tc 2.68, 3 Pd 2.76-2.98
Zr11 0.9739 0.6805 0.0538  1 Tc 2.68, 3 Pd 2.77-2.95
Zr12 0.9739 0.8195 0.5538  1 Tc 2.68, 3 Pd 2.77-2.95
Tc1 0.0000 0.0000 0.0000  6 Zr 2.48-2.68
Tc2 0.0000 0.5000 0.5000  6 Zr 2.48-2.68
Pd1 0.0862 0.0996 0.7479  8 Zr 2.93-3.19, 1 Pd 3.09, 1 Tc 3.10
Pd2 0.0862 0.4004 0.2479  8 Zr 2.93-3.19, 1 Pd 3.09, 1 Tc 3.10
Pd3 0.5000 0.0000 0.5000  6 Zr 2.58-2.77
Pd4 0.5000 0.5000 0.0000  6 Zr 2.58-2.77
Pd5 0.9138 0.5996 0.7521  8 Zr 2.93-3.19, 1 Pd 3.09, 1 Tc 3.10
Pd6 0.9138 0.9004 0.2521  8 Zr 2.93-3.19, 1 Pd 3.09, 1 Tc 3.10

Calculated values
- SG: P2_1/c (14)

***

No. 5
Below is Zr4Tc2Pd after structural relaxation, with properties calculated at the PBE level.

Lattice parameters (Å, degrees): 7.9910 7.9910 7.9910 33.67 33.67 33.67
Closest atoms and distances in Å follow each position.
Fractional coordinates of all 7 atoms:
Zr1 0.1197 0.1197 0.1197  4 Tc 2.78-2.90, 3 Pd 2.88
Zr2 0.3709 0.3709 0.3709  4 Tc 2.77-2.88, 1 Pd 2.92
Zr3 0.6291 0.6291 0.6291  4 Tc 2.77-2.88, 1 Pd 2.92
Zr4 0.8803 0.8803 0.8803  4 Tc 2.78-2.90, 3 Pd 2.88
Tc1 0.2482 0.2482 0.2482  8 Zr 2.77-2.90
Tc2 0.7518 0.7518 0.7518  8 Zr 2.77-2.90
Pd1 0.5000 0.5000 0.5000  8 Zr 2.88-2.92

Calculated values
- SG: R-3m (166)

***

No. 6
Below is ZrTcPd3 after structural relaxation, with properties calculated at the PBE level.

Lattice parameters (Å, degrees): 4.7395 4.7395 4.7395 90.00 90.00 90.00
Closest atoms and distances in Å follow each position.
Fractional coordinates of all 5 atoms:
Zr1 0.0000 0.0000 0.0000  12 Pd 3.35
Tc1 0.5000 0.5000 0.5000  6 Pd 2.37
Pd1 0.0000 0.5000 0.5000  2 Tc 2.37
Pd2 0.5000 0.0000 0.5000  2 Tc 2.37
Pd3 0.5000 0.5000 0.0000  2 Tc 2.37

Calculated values
- SG: Pm-3m (221)

***

No. 7
Below is ZrTcPd after structural relaxation, with properties calculated at the PBE level.

Lattice parameters (Å, degrees): 4.7951 4.8074 5.5121 100.71 102.48 117.19
Closest atoms and distances in Å follow each position.
Fractional coordinates of all 6 atoms:
Zr1 0.0000 0.0000 0.0000  3 Pd 2.66-2.93, 5 Tc 2.68-2.87
Zr2 0.2665 0.7325 0.5154  3 Tc 2.73-2.83, 5 Pd 2.74-2.90
Tc1 0.3549 0.6757 0.0252  2 Tc 2.71-2.82, 5 Zr 2.78-2.85, 3 Pd 2.96-3.01
Tc2 0.6555 0.3429 0.8897  3 Zr 2.68-2.87, 2 Tc 2.71-2.82, 2 Pd 2.74-2.86
Pd1 0.5801 0.3839 0.3929  3 Zr 2.66-2.80, 3 Tc 2.74-2.96, 2 Pd 2.76-2.89
Pd2 0.9482 0.0961 0.5254  5 Zr 2.72-2.93, 3 Pd 2.76-3.02, 3 Tc 3.00-3.04

Calculated values
- SG: P1 (1)

***

No. 8
Below is ZrTcPd after structural relaxation, with properties calculated at the PBE level.

Lattice parameters (Å, degrees): 3.8798 6.6078 6.6078 37.19 90.00 90.00
Closest atoms and distances in Å follow each position.
Fractional coordinates of all 6 atoms:
Zr1 0.0000 0.0000 0.0000  4 Tc 2.73-3.05, 6 Pd 2.82-2.87
Zr2 0.0000 0.3042 0.3042  6 Tc 2.71-2.87, 4 Pd 2.86-2.99
Tc1 0.5000 0.1533 0.1533  4 Zr 2.71-2.73, 6 Pd 2.86-2.97, 2 Tc 2.90
Tc2 0.5000 0.8122 0.8122  4 Pd 2.81-3.03, 6 Zr 2.87-3.05, 2 Tc 2.90
Pd1 0.0000 0.6500 0.6500  6 Tc 2.81-2.86, 2 Pd 2.82, 4 Zr 2.82-2.86
Pd2 0.5000 0.4863 0.4863  2 Pd 2.82, 6 Zr 2.87-2.99, 4 Tc 2.97-3.03

Calculated values
- SG: Amm2 (38)

***

No. 9
Below is Zr4TcPd3 after structural relaxation, with properties calculated at the PBE level.

Lattice parameters (Å, degrees): 3.2595 3.2595 14.0383 90.00 90.00 90.00
Closest atoms and distances in Å follow each position.
Fractional coordinates of all 8 atoms:
Zr1 0.0000 0.0000 0.1149  4 Tc 2.81, 4 Pd 2.91
Zr2 0.0000 0.0000 0.3715  8 Pd 2.93-2.94, 4 Zr 3.26
Zr3 0.0000 0.0000 0.6285  8 Pd 2.93-2.94, 4 Zr 3.26
Zr4 0.0000 0.0000 0.8851  4 Tc 2.81, 4 Pd 2.91
Tc1 0.5000 0.5000 0.0000  8 Zr 2.81
Pd1 0.5000 0.5000 0.2418  8 Zr 2.91-2.94, 4 Pd 3.26
Pd2 0.5000 0.5000 0.5000  8 Zr 2.93, 4 Pd 3.26
Pd3 0.5000 0.5000 0.7582  8 Zr 2.91-2.94, 4 Pd 3.26

Calculated values
- SG: P4/mmm (123)

***

No. 10
Below is Zr3TcPd after structural relaxation, with properties calculated at the PBE level.

Lattice parameters (Å, degrees): 4.9766 4.9766 4.9766 90.00 90.00 90.00
Closest atoms and distances in Å follow each position.
Fractional coordinates of all 5 atoms:
Zr1 0.0000 0.0000 0.5000  2 Pd 2.49
Zr2 0.0000 0.5000 0.0000  2 Pd 2.49
Zr3 0.5000 0.0000 0.0000  2 Pd 2.49
Tc1 0.5000 0.5000 0.5000  12 Zr 3.52
Pd1 0.0000 0.0000 0.0000  6 Zr 2.49

Calculated values
- SG: Pm-3m (221)

***

No. 11
Below is ZrTcPd after structural relaxation, with properties calculated at the PBE level.

Lattice parameters (Å, degrees): 4.9936 5.0857 5.4506 93.80 115.23 117.54
Closest atoms and distances in Å follow each position.
Fractional coordinates of all 6 atoms:
Zr1 0.1270 0.3911 0.2607  5 Pd 2.79-3.08, 5 Tc 2.79-3.06, 2 Zr 3.07-3.09
Zr2 0.8730 0.6089 0.7393  5 Pd 2.79-3.08, 5 Tc 2.79-3.06, 2 Zr 3.07-3.09
Tc1 0.2277 0.2881 0.8059  1 Tc 2.36
Tc2 0.7723 0.7119 0.1941  1 Tc 2.36
Pd1 0.4985 0.0723 0.2629  2 Pd 2.73-2.92, 4 Zr 2.79-2.97, 4 Tc 2.83-3.04
Pd2 0.5015 0.9277 0.7371  2 Pd 2.73-2.92, 4 Zr 2.79-2.97, 4 Tc 2.83-3.04

Calculated values
- SG: P-1 (2)

***

Short version: energy relative to the elements = -33.6 -18.8 -34.4 -23.1 -30.7 86.6 -23.5 -27.5 -55.2 87.2 -20.0 kJ/mol of atoms, in the order given.
Short version: total DFT energy (no corrections) = -8.38 -8.23 -8.21 -7.96 -8.91 -6.00 -8.28 -8.32 -8.09 -7.34 -8.24 eV per atom, in the order given.
Short version: D(E_F) = 6.0 5.6 6.9 22.3 4.4 8.8 5.8 5.9 7.7 11.2 4.7 states/eV per cell, in the order given.